(1)
Below is a relaxed AcYAlGe crystal, with properties calculated at the PBE-GGA level.

a = 4.1796 Å, b = 4.5758 Å, c = 11.6385 Å
α = 90.00°, β = 90.00°, γ = 90.00°
Sites, in units of the cell vectors:
Ac1 0.0000 0.0000 0.0000
Ac2 0.0000 0.5000 0.5000
Y1 0.5000 0.0000 0.7221
Y2 0.5000 0.5000 0.2221
Al1 0.0000 0.0000 0.2799
Al2 0.0000 0.5000 0.7799
Ge1 0.5000 0.0000 0.4197
Ge2 0.5000 0.5000 0.9197

Output
Total moment = 0.00 Bohr magnetons per cell
Crystal system = orthorhombic
Energy relative to the elements = -592.4 meV per atom


(2)
Below is a relaxed LiBePO2 crystal, with properties calculated at the PBE-GGA level.

a = 3.4883 Å, b = 3.4883 Å, c = 4.7442 Å
α = 90.00°, β = 90.00°, γ = 90.00°
Sites, in units of the cell vectors:
Li1 0.0000 0.0000 0.0000
Be1 0.5000 0.5000 0.5000
P1 0.0000 0.0000 0.5000
O1 0.0000 0.5000 0.0000
O2 0.5000 0.0000 0.0000

Output
Total moment = 1.88 Bohr magnetons per cell
Crystal system = tetragonal
Polymorph energy (0 for the lowest one) = 767 meV/atom


(3)
Below is a relaxed Er3URu4 crystal, with properties calculated at the PBE-GGA level.

a = 5.6831 Å, b = 5.7428 Å, c = 6.3503 Å
α = 69.63°, β = 89.95°, γ = 60.44°
Sites, in units of the cell vectors:
Er1 0.0000 0.0000 0.0000
Er2 0.0404 0.3989 0.3692
Er3 0.4387 0.6011 0.6326
U1 0.7232 0.0005 0.5000
Ru1 0.0186 0.5247 0.8306
Ru2 0.4822 0.0047 0.8002
Ru3 0.4864 0.9965 0.2002
Ru4 0.5453 0.4760 0.1696

Output
Total moment = 0.00 Bohr magnetons per cell
Crystal system = triclinic
Polymorph energy (0 for the lowest one) = 86 meV/atom
Energy relative to the elements = -311.7 meV per atom


(4)
Below is a relaxed PmUPdS4 crystal, with properties calculated at the PBE-GGA level.

a = 6.4696 Å, b = 6.1627 Å, c = 7.7120 Å
α = 90.00°, β = 106.97°, γ = 90.00°
Sites, in units of the cell vectors:
Pm1 0.2294 0.2500 0.0529
Pm2 0.7706 0.7500 0.9471
U1 0.2355 0.2500 0.5575
U2 0.7645 0.7500 0.4425
Pd1 0.2348 0.7500 0.3206
Pd2 0.7652 0.2500 0.6794
S1 0.0340 0.5207 0.7424
S2 0.0340 0.9793 0.7424
S3 0.4587 0.7500 0.1217
S4 0.4672 0.7500 0.6189
S5 0.5328 0.2500 0.3811
S6 0.5413 0.2500 0.8783
S7 0.9660 0.0207 0.2576
S8 0.9660 0.4793 0.2576

Output
Total moment = 2.80 Bohr magnetons per cell
Crystal system = monoclinic
Raw total energy = -93.2 eV/cell